# AsPtSeCl2, relaxed, DFT PBE-GGA
data_AsPtSeCl2
_space_group_name_H-M_alt 'P 4/m m m'
_space_group_IT_number 123
_space_group_name_Hall '-P 4 2'
_cell_length_a 4.877
_cell_length_b 4.877
_cell_length_c 4.994
_cell_angle_alpha 90.00
_cell_angle_beta 90.00
_cell_angle_gamma 90.00
loop_
_atom_site_label
_atom_site_fract_x
_atom_site_fract_y
_atom_site_fract_z
As1 0.000 0.000 0.000
Pt1 0.500 0.500 0.000
Se1 0.500 0.500 0.500
Cl1 0.000 0.500 0.500
# Raw formation energy ... 0.6774 eV/atom
# Crystal system ... tetragonal

***

# VCu3Pd4, relaxed, DFT PBE-GGA
data_VCu3Pd4
_space_group_name_H-M_alt 'P m m a'
_space_group_IT_number 51
_cell_length_a 8.782
_cell_length_b 5.597
_cell_length_c 4.528
_cell_angle_alpha 90.00
_cell_angle_beta 90.00
_cell_angle_gamma 90.00
loop_
_space_group_symop_operation_xyz
'x,y,z'
'-x,-y,-z'
'-x+1/2,-y,z'
'x+1/2,y,-z'
'x+1/2,-y,-z'
'-x+1/2,y,z'
'-x,y,-z'
'x,-y,z'
loop_
_atom_site_label
_atom_site_fract_x
_atom_site_fract_y
_atom_site_fract_z
V1 0.000 0.000 0.000
Cu1 0.000 0.500 0.000
Cu2 0.250 0.000 0.382
Cu3 0.250 0.500 0.381
Pd1 0.000 0.249 0.500
Pd2 0.250 0.250 0.888
# DFT total energy ... -5.42 eV per atom
# Crystal system ... orthorhombic

***

# AsRh2Cl, relaxed, DFT PBE-GGA
data_AsRh2Cl
_space_group_name_H-M_alt 'R 3 m'
_space_group_IT_number 160
_space_group_name_Hall 'R 3 -2"'
_cell_length_a 3.0670
_cell_length_b 3.0670
_cell_length_c 27.3767
_cell_angle_alpha 90.00
_cell_angle_beta 90.00
_cell_angle_gamma 120.00
loop_
_atom_site_label
_atom_site_fract_x
_atom_site_fract_y
_atom_site_fract_z
As1 0.0000 0.0000 0.0000
Rh1 0.0000 0.0000 0.2710
Rh2 0.0000 0.0000 0.5234
Cl1 0.0000 0.0000 0.7947
# ΔE to the lowest computed polymorph ... 284 meV/atom
# Raw formation energy ... 0.0808 eV/atom
# Crystal system ... trigonal

***

# TaGe2C, relaxed, DFT PBE-GGA
data_TaGe2C
_space_group_name_H-M_alt 'I -4 2 d'
_space_group_IT_number 122
_space_group_name_Hall 'I -4 2bw'
_cell_length_a 6.213
_cell_length_b 6.213
_cell_length_c 6.184
_cell_angle_alpha 90.00
_cell_angle_beta 90.00
_cell_angle_gamma 90.00
loop_
_atom_site_label
_atom_site_fract_x
_atom_site_fract_y
_atom_site_fract_z
Ta1 0.000 0.000 0.000
Ge1 0.164 0.250 0.625
C1 0.000 0.000 0.500
# DFT total energy ... -6.79 eV per atom
# Crystal system ... tetragonal

***

# TaAlRu, relaxed, DFT PBE-GGA
data_TaAlRu
_space_group_name_H-M_alt 'F m m 2'
_space_group_IT_number 42
_space_group_name_Hall 'F 2 -2'
_cell_length_a 3.147
_cell_length_b 4.672
_cell_length_c 12.877
_cell_angle_alpha 90.00
_cell_angle_beta 90.00
_cell_angle_gamma 90.00
loop_
_atom_site_label
_atom_site_fract_x
_atom_site_fract_y
_atom_site_fract_z
Ta1 0.000 0.000 0.000
Al1 0.000 0.000 0.321
Ru1 0.000 0.000 0.667
# DFT total energy ... -8.48 eV per atom
# Crystal system ... orthorhombic

***

# Mn2AlHPt, relaxed, DFT PBE-GGA
data_Mn2AlHPt
_space_group_name_H-M_alt 'P 4/m m m'
_space_group_IT_number 123
_space_group_name_Hall '-P 4 2'
_cell_length_a 3.705
_cell_length_b 3.705
_cell_length_c 4.101
_cell_angle_alpha 90.00
_cell_angle_beta 90.00
_cell_angle_gamma 90.00
loop_
_atom_site_label
_atom_site_fract_x
_atom_site_fract_y
_atom_site_fract_z
Mn1 0.000 0.500 0.000
Al1 0.000 0.000 0.500
H1 0.000 0.000 0.000
Pt1 0.500 0.500 0.500
# ΔE to the lowest computed polymorph ... 0 meV/atom
# Crystal system ... tetragonal

***

# LiHo2Sc, relaxed, DFT PBE-GGA
data_LiHo2Sc
_space_group_name_H-M_alt 'P 4/m m m'
_space_group_IT_number 123
_space_group_name_Hall '-P 4 2'
_cell_length_a 5.375
_cell_length_b 5.375
_cell_length_c 3.663
_cell_angle_alpha 90.00
_cell_angle_beta 90.00
_cell_angle_gamma 90.00
loop_
_atom_site_label
_atom_site_fract_x
_atom_site_fract_y
_atom_site_fract_z
Li1 0.000 0.000 0.000
Ho1 0.000 0.500 0.500
Sc1 0.500 0.500 0.000
# ΔE to the lowest computed polymorph ... 37 meV/atom
# Crystal system ... tetragonal

***

# Ba2ZnSb, relaxed, DFT PBE-GGA
data_Ba2ZnSb
_space_group_name_H-M_alt 'A m m 2'
_space_group_IT_number 38
_cell_length_a 4.874
_cell_length_b 4.954
_cell_length_c 12.737
_cell_angle_alpha 90.00
_cell_angle_beta 90.00
_cell_angle_gamma 90.00
loop_
_space_group_symop_operation_xyz
'x,y,z'
'-x,-y,z'
'-x,y,z'
'x,-y,z'
'x,y+1/2,z+1/2'
'-x,-y+1/2,z+1/2'
'-x,y+1/2,z+1/2'
'x,-y+1/2,z+1/2'
loop_
_atom_site_label
_atom_site_fract_x
_atom_site_fract_y
_atom_site_fract_z
Ba1 0.000 0.000 0.000
Ba2 0.500 0.000 0.275
Zn1 0.000 0.000 0.715
Sb1 0.500 0.000 0.567
# ΔE to the lowest computed polymorph ... 0 meV/atom
# Raw formation energy ... -0.6436 eV/atom
# Crystal system ... orthorhombic

***

# KYAg2Cl8, relaxed, DFT PBE-GGA
data_KYAg2Cl8
_space_group_name_H-M_alt 'I -4'
_space_group_IT_number 82
_cell_length_a 6.748
_cell_length_b 6.748
_cell_length_c 14.376
_cell_angle_alpha 90.00
_cell_angle_beta 90.00
_cell_angle_gamma 90.00
loop_
_space_group_symop_operation_xyz
'x,y,z'
'y,-x,-z'
'-x,-y,z'
'-y,x,-z'
'x+1/2,y+1/2,z+1/2'
'y+1/2,-x+1/2,-z+1/2'
'-x+1/2,-y+1/2,z+1/2'
'-y+1/2,x+1/2,-z+1/2'
loop_
_atom_site_label
_atom_site_fract_x
_atom_site_fract_y
_atom_site_fract_z
K1 0.000 0.000 0.000
Y1 0.000 0.500 0.750
Ag1 0.000 0.000 0.500
Ag2 0.000 0.500 0.250
Cl1 0.139 0.294 0.590
Cl2 0.177 0.793 0.188
# Raw formation energy ... -1.1627 eV/atom
# Crystal system ... tetragonal

***

# CaPrTc2N4, relaxed, DFT PBE-GGA
data_CaPrTc2N4
_space_group_name_H-M_alt 'I 4/m m m'
_space_group_IT_number 139
_space_group_name_Hall '-I 4 2'
_cell_length_a 5.609
_cell_length_b 5.609
_cell_length_c 6.789
_cell_angle_alpha 90.00
_cell_angle_beta 90.00
_cell_angle_gamma 90.00
loop_
_atom_site_label
_atom_site_fract_x
_atom_site_fract_y
_atom_site_fract_z
Ca1 0.000 0.000 0.000
Pr1 0.000 0.000 0.500
Tc1 0.000 0.500 0.250
N1 0.250 0.250 0.250
# Raw formation energy ... -0.6882 eV/atom
# Crystal system ... tetragonal

***

# MnZn2AsPt, relaxed, DFT PBE-GGA
data_MnZn2AsPt
_space_group_name_H-M_alt 'P 4/m m m'
_space_group_IT_number 123
_space_group_name_Hall '-P 4 2'
_cell_length_a 4.612
_cell_length_b 4.612
_cell_length_c 4.633
_cell_angle_alpha 90.00
_cell_angle_beta 90.00
_cell_angle_gamma 90.00
loop_
_atom_site_label
_atom_site_fract_x
_atom_site_fract_y
_atom_site_fract_z
Mn1 0.000 0.000 0.000
Zn1 0.000 0.500 0.500
As1 0.000 0.000 0.500
Pt1 0.500 0.500 0.000
# DFT total energy ... -3.91 eV per atom
# Crystal system ... tetragonal

***

# BaLiErIn, relaxed, DFT PBE-GGA
data_BaLiErIn
_space_group_name_H-M_alt 'F -4 3 m'
_space_group_IT_number 216
_space_group_name_Hall 'F -4 2 3'
_cell_length_a 7.984
_cell_length_b 7.984
_cell_length_c 7.984
_cell_angle_alpha 90.00
_cell_angle_beta 90.00
_cell_angle_gamma 90.00
loop_
_atom_site_label
_atom_site_fract_x
_atom_site_fract_y
_atom_site_fract_z
Ba1 0.000 0.000 0.000
Li1 0.250 0.250 0.750
Er1 0.000 0.000 0.500
In1 0.250 0.250 0.250
# DFT total energy ... -2.88 eV per atom
# Crystal system ... cubic

***

# Tb2Er3Zn2, relaxed, DFT PBE-GGA
data_Tb2Er3Zn2
_space_group_name_H-M_alt 'C 1 2/m 1'
_space_group_IT_number 12
_cell_length_a 11.215
_cell_length_b 4.675
_cell_length_c 8.044
_cell_angle_alpha 90.00
_cell_angle_beta 116.01
_cell_angle_gamma 90.00
loop_
_space_group_symop_operation_xyz
'x,y,z'
'-x,-y,-z'
'-x,y,-z'
'x,-y,z'
'x+1/2,y+1/2,z'
'-x+1/2,-y+1/2,-z'
'-x+1/2,y+1/2,-z'
'x+1/2,-y+1/2,z'
loop_
_atom_site_label
_atom_site_fract_x
_atom_site_fract_y
_atom_site_fract_z
Tb1 0.136 0.000 0.289
Er1 0.000 0.500 0.500
Er2 0.133 0.500 0.959
Zn1 0.149 0.000 0.689
# ΔE to the lowest computed polymorph ... 40 meV/atom
# Crystal system ... monoclinic

***

# TbInRh2, relaxed, DFT PBE-GGA
data_TbInRh2
_space_group_name_H-M_alt 'P 4/m m m'
_space_group_IT_number 123
_space_group_name_Hall '-P 4 2'
_cell_length_a 4.537
_cell_length_b 4.537
_cell_length_c 3.560
_cell_angle_alpha 90.00
_cell_angle_beta 90.00
_cell_angle_gamma 90.00
loop_
_atom_site_label
_atom_site_fract_x
_atom_site_fract_y
_atom_site_fract_z
Tb1 0.000 0.000 0.000
In1 0.500 0.500 0.000
Rh1 0.000 0.500 0.500
# DFT total energy ... -6.27 eV per atom
# Crystal system ... tetragonal

***

# Pu2GeSb3Rh4, relaxed, DFT PBE-GGA
data_Pu2GeSb3Rh4
_space_group_name_H-M_alt 'P -4 m 2'
_space_group_IT_number 115
_cell_length_a 4.390
_cell_length_b 4.390
_cell_length_c 10.668
_cell_angle_alpha 90.00
_cell_angle_beta 90.00
_cell_angle_gamma 90.00
loop_
_space_group_symop_operation_xyz
'x,y,z'
'y,-x,-z'
'-x,-y,z'
'-y,x,-z'
'-x,y,z'
'-y,-x,-z'
'x,-y,z'
'y,x,-z'
loop_
_atom_site_label
_atom_site_fract_x
_atom_site_fract_y
_atom_site_fract_z
Pu1 0.000 0.500 0.241
Ge1 0.500 0.500 0.000
Sb1 0.000 0.000 0.000
Sb2 0.000 0.500 0.637
Rh1 0.000 0.000 0.500
Rh2 0.000 0.500 0.877
Rh3 0.500 0.500 0.500
# Raw formation energy ... -0.5848 eV/atom
# Crystal system ... tetragonal

***

# SrAg4Pt, relaxed, DFT PBE-GGA
data_SrAg4Pt
_space_group_name_H-M_alt 'F -4 3 m'
_space_group_IT_number 216
_space_group_name_Hall 'F -4 2 3'
_cell_length_a 7.893
_cell_length_b 7.893
_cell_length_c 7.893
_cell_angle_alpha 90.00
_cell_angle_beta 90.00
_cell_angle_gamma 90.00
loop_
_atom_site_label
_atom_site_fract_x
_atom_site_fract_y
_atom_site_fract_z
Sr1 0.000 0.000 0.000
Ag1 0.124 0.124 0.624
Pt1 0.250 0.250 0.250
# DFT total energy ... -3.33 eV per atom
# Crystal system ... cubic

***

# NaP2RhO6, relaxed, DFT PBE-GGA
data_NaP2RhO6
_space_group_name_H-M_alt 'R -3'
_space_group_IT_number 148
_space_group_name_Hall '-R 3'
_cell_length_a 5.1163
_cell_length_b 5.1163
_cell_length_c 17.1423
_cell_angle_alpha 90.00
_cell_angle_beta 90.00
_cell_angle_gamma 120.00
loop_
_atom_site_label
_atom_site_fract_x
_atom_site_fract_y
_atom_site_fract_z
Na1 0.0000 0.0000 0.0000
P1 0.0000 0.0000 0.2574
Rh1 0.0000 0.0000 0.5000
O1 0.0230 0.6353 0.9049
# Raw formation energy ... -1.4392 eV/atom
# Crystal system ... trigonal

***

# TlTe2Cl, relaxed, DFT PBE-GGA
data_TlTe2Cl
_space_group_name_H-M_alt 'I 4/m m m'
_space_group_IT_number 139
_space_group_name_Hall '-I 4 2'
_cell_length_a 4.312
_cell_length_b 4.312
_cell_length_c 15.520
_cell_angle_alpha 90.00
_cell_angle_beta 90.00
_cell_angle_gamma 90.00
loop_
_atom_site_label
_atom_site_fract_x
_atom_site_fract_y
_atom_site_fract_z
Tl1 0.000 0.000 0.000
Te1 0.000 0.500 0.250
Cl1 0.000 0.000 0.500
# ΔE to the lowest computed polymorph ... 43 meV/atom
# Raw formation energy ... -0.3582 eV/atom
# Crystal system ... tetragonal

***

# ZrBe2P, relaxed, DFT PBE-GGA
data_ZrBe2P
_space_group_name_H-M_alt 'I m m 2'
_space_group_IT_number 44
_cell_length_a 3.445
_cell_length_b 3.529
_cell_length_c 8.677
_cell_angle_alpha 90.00
_cell_angle_beta 90.00
_cell_angle_gamma 90.00
loop_
_space_group_symop_operation_xyz
'x,y,z'
'-x,-y,z'
'-x,y,z'
'x,-y,z'
'x+1/2,y+1/2,z+1/2'
'-x+1/2,-y+1/2,z+1/2'
'-x+1/2,y+1/2,z+1/2'
'x+1/2,-y+1/2,z+1/2'
loop_
_atom_site_label
_atom_site_fract_x
_atom_site_fract_y
_atom_site_fract_z
Zr1 0.000 0.000 0.000
Be1 0.000 0.000 0.392
Be2 0.000 0.500 0.246
P1 0.000 0.500 0.745
# DFT total energy ... -5.72 eV per atom
# Crystal system ... orthorhombic

***

# CaBi2P2O10, relaxed, DFT PBE-GGA
data_CaBi2P2O10
_space_group_name_H-M_alt 'F d d 2'
_space_group_IT_number 43
_space_group_name_Hall 'F 2 -2d'
_cell_length_a 13.840
_cell_length_b 15.690
_cell_length_c 8.174
_cell_angle_alpha 90.00
_cell_angle_beta 90.00
_cell_angle_gamma 90.00
loop_
_atom_site_label
_atom_site_fract_x
_atom_site_fract_y
_atom_site_fract_z
Ca1 0.000 0.000 0.000
Bi1 0.119 0.374 0.914
P1 0.014 0.196 0.048
O1 0.001 0.047 0.543
O2 0.014 0.374 0.673
O3 0.027 0.147 0.882
O4 0.068 0.237 0.526
O5 0.108 0.244 0.095
# Raw formation energy ... -1.9327 eV/atom
# Crystal system ... orthorhombic

***

# TaPb2Au, relaxed, DFT PBE-GGA
data_TaPb2Au
_space_group_name_H-M_alt 'C 1 2/m 1'
_space_group_IT_number 12
_cell_length_a 10.756
_cell_length_b 3.096
_cell_length_c 5.540
_cell_angle_alpha 90.00
_cell_angle_beta 94.91
_cell_angle_gamma 90.00
loop_
_space_group_symop_operation_xyz
'x,y,z'
'-x,-y,-z'
'-x,y,-z'
'x,-y,z'
'x+1/2,y+1/2,z'
'-x+1/2,-y+1/2,-z'
'-x+1/2,y+1/2,-z'
'x+1/2,-y+1/2,z'
loop_
_atom_site_label
_atom_site_fract_x
_atom_site_fract_y
_atom_site_fract_z
Ta1 0.000 0.000 0.000
Pb1 0.237 0.500 0.242
Au1 0.000 0.500 0.500
# ΔE to the lowest computed polymorph ... 330 meV/atom
# Crystal system ... monoclinic

***

# CaNdDyCd, relaxed, DFT PBE-GGA
data_CaNdDyCd
_space_group_name_H-M_alt 'P 4 m m'
_space_group_IT_number 99
_cell_length_a 3.649
_cell_length_b 3.649
_cell_length_c 9.495
_cell_angle_alpha 90.00
_cell_angle_beta 90.00
_cell_angle_gamma 90.00
loop_
_space_group_symop_operation_xyz
'x,y,z'
'-y,x,z'
'-x,-y,z'
'y,-x,z'
'-x,y,z'
'y,x,z'
'x,-y,z'
'-y,-x,z'
loop_
_atom_site_label
_atom_site_fract_x
_atom_site_fract_y
_atom_site_fract_z
Ca1 0.000 0.000 0.000
Nd1 0.500 0.500 0.311
Dy1 0.000 0.000 0.571
Cd1 0.500 0.500 0.777
# ΔE to the lowest computed polymorph ... 0 meV/atom
# Crystal system ... tetragonal

***

# Cs2HoPuSe4, relaxed, DFT PBE-GGA
data_Cs2HoPuSe4
_space_group_name_H-M_alt 'P 1 2/m 1'
_space_group_IT_number 10
_cell_length_a 7.471
_cell_length_b 4.299
_cell_length_c 8.709
_cell_angle_alpha 90.00
_cell_angle_beta 106.54
_cell_angle_gamma 90.00
loop_
_space_group_symop_operation_xyz
'x,y,z'
'-x,-y,-z'
'-x,y,-z'
'x,-y,z'
loop_
_atom_site_label
_atom_site_fract_x
_atom_site_fract_y
_atom_site_fract_z
Cs1 0.000 0.000 0.000
Cs2 0.500 0.500 0.000
Ho1 0.000 0.500 0.500
Pu1 0.500 0.000 0.500
Se1 0.223 0.000 0.685
Se2 0.268 0.500 0.316
# Raw formation energy ... -1.5673 eV/atom
# Crystal system ... monoclinic

***

# Fe3BRu, relaxed, DFT PBE-GGA
data_Fe3BRu
_space_group_name_H-M_alt 'P m -3 m'
_space_group_IT_number 221
_space_group_name_Hall '-P 4 2 3'
_cell_length_a 3.835
_cell_length_b 3.835
_cell_length_c 3.835
_cell_angle_alpha 90.00
_cell_angle_beta 90.00
_cell_angle_gamma 90.00
loop_
_atom_site_label
_atom_site_fract_x
_atom_site_fract_y
_atom_site_fract_z
Fe1 0.000 0.000 0.500
B1 0.000 0.000 0.000
Ru1 0.500 0.500 0.500
# ΔE to the lowest computed polymorph ... 0 meV/atom
# Crystal system ... cubic

***

# PrY2P, relaxed, DFT PBE-GGA
data_PrY2P
_space_group_name_H-M_alt 'R -3 m'
_space_group_IT_number 166
_space_group_name_Hall '-R 3 2"'
_cell_length_a 3.7764
_cell_length_b 3.7764
_cell_length_c 30.8639
_cell_angle_alpha 90.00
_cell_angle_beta 90.00
_cell_angle_gamma 120.00
loop_
_atom_site_label
_atom_site_fract_x
_atom_site_fract_y
_atom_site_fract_z
Pr1 0.0000 0.0000 0.0000
Y1 0.0000 0.0000 0.1145
P1 0.0000 0.0000 0.5000
# DFT total energy ... -6.35 eV per atom
# Crystal system ... trigonal